(1)
CdSiBr: optimized geometry, GGA-PBE.

Geometry as CIF:
```
data_CdSiBr
_chemical_formula_sum 'Cd4 Si4 Br4'
_space_group_name_H-M_alt 'F -4 3 m'
_space_group_IT_number 216
_space_group_name_Hall 'F -4 2 3'
_cell_length_a 6.931
_cell_length_b 6.931
_cell_length_c 6.931
_cell_angle_alpha 90.00
_cell_angle_beta 90.00
_cell_angle_gamma 90.00
loop_
_atom_site_label
_atom_site_fract_x
_atom_site_fract_y
_atom_site_fract_z
Cd1 0.000 0.000 0.000
Si1 0.250 0.250 0.250
Br1 0.000 0.000 0.500
```

## Properties
E_tot   -2.170 eV per atom
Excess energy over the best structure of this formula in the dataset   464.2 meV/atom
Raw formation energy   1.5 eV per formula unit

***

(2)
Cd2SiBr: optimized geometry, GGA-PBE.

Geometry as CIF:
```
data_Cd2SiBr
_chemical_formula_sum 'Cd4 Si2 Br2'
_space_group_name_H-M_alt 'C m m m'
_space_group_IT_number 65
_space_group_name_Hall '-C 2 2'
_cell_length_a 7.572
_cell_length_b 7.581
_cell_length_c 3.189
_cell_angle_alpha 90.00
_cell_angle_beta 90.00
_cell_angle_gamma 90.00
loop_
_atom_site_label
_atom_site_fract_x
_atom_site_fract_y
_atom_site_fract_z
Cd1 0.250 0.250 0.000
Si1 0.000 0.000 0.500
Br1 0.000 0.500 0.500
```

## Properties
E_tot   -2.010 eV per atom
Excess energy over the best structure of this formula in the dataset   225.2 meV/atom
Raw formation energy   0.9 eV per formula unit

***

(3)
CdSiBr: optimized geometry, GGA-PBE.

Geometry as CIF:
```
data_CdSiBr
_chemical_formula_sum 'Cd4 Si4 Br4'
_space_group_name_H-M_alt 'F m m 2'
_space_group_IT_number 42
_space_group_name_Hall 'F 2 -2'
_cell_length_a 3.858
_cell_length_b 5.849
_cell_length_c 12.804
_cell_angle_alpha 90.00
_cell_angle_beta 90.00
_cell_angle_gamma 90.00
loop_
_atom_site_label
_atom_site_fract_x
_atom_site_fract_y
_atom_site_fract_z
Cd1 0.000 0.000 0.000
Si1 0.000 0.000 0.345
Br1 0.000 0.000 0.667
```

## Properties
E_tot   -2.343 eV per atom
Excess energy over the best structure of this formula in the dataset   291.2 meV/atom
Raw formation energy   1.0 eV per formula unit

***

(4)
Cd2SiBr: optimized geometry, GGA-PBE.

Geometry as CIF:
```
data_Cd2SiBr
_chemical_formula_sum 'Cd4 Si2 Br2'
_space_group_name_H-M_alt 'C m m 2'
_space_group_IT_number 35
_space_group_name_Hall 'C 2 -2'
_cell_length_a 3.279
_cell_length_b 5.804
_cell_length_c 10.016
_cell_angle_alpha 90.00
_cell_angle_beta 90.00
_cell_angle_gamma 90.00
loop_
_atom_site_label
_atom_site_fract_x
_atom_site_fract_y
_atom_site_fract_z
Cd1 0.000 0.000 0.000
Cd2 0.000 0.500 0.257
Si1 0.000 0.500 0.756
Br1 0.000 0.000 0.555
```

## Properties
E_tot   -1.966 eV per atom
Excess energy over the best structure of this formula in the dataset   268.9 meV/atom
Raw formation energy   1.1 eV per formula unit

***

(5)
Cd3SiBr: optimized geometry, GGA-PBE.

Geometry as CIF:
```
data_Cd3SiBr
_chemical_formula_sum 'Cd3 Si1 Br1'
_space_group_name_H-M_alt 'P m -3 m'
_space_group_IT_number 221
_space_group_name_Hall '-P 4 2 3'
_cell_length_a 5.526
_cell_length_b 5.526
_cell_length_c 5.526
_cell_angle_alpha 90.00
_cell_angle_beta 90.00
_cell_angle_gamma 90.00
loop_
_atom_site_label
_atom_site_fract_x
_atom_site_fract_y
_atom_site_fract_z
Cd1 0.000 0.000 0.500
Si1 0.500 0.500 0.500
Br1 0.000 0.000 0.000
```

## Properties
E_tot   -1.084 eV per atom
Excess energy over the best structure of this formula in the dataset   897.1 meV/atom
Raw formation energy   4.4 eV per formula unit

***

(6)
CdSi4Br: optimized geometry, GGA-PBE.

Geometry as CIF:
```
data_CdSi4Br
_chemical_formula_sum 'Cd4 Si16 Br4'
_space_group_name_H-M_alt 'F -4 3 m'
_space_group_IT_number 216
_space_group_name_Hall 'F -4 2 3'
_cell_length_a 7.658
_cell_length_b 7.658
_cell_length_c 7.658
_cell_angle_alpha 90.00
_cell_angle_beta 90.00
_cell_angle_gamma 90.00
loop_
_atom_site_label
_atom_site_fract_x
_atom_site_fract_y
_atom_site_fract_z
Cd1 0.000 0.000 0.000
Si1 0.125 0.125 0.625
Br1 0.250 0.250 0.250
```

## Properties
E_tot   -3.502 eV per atom
Raw formation energy   3.3 eV per formula unit

***

(7)
CdSiBr4: optimized geometry, GGA-PBE.

Geometry as CIF:
```
data_CdSiBr4
_chemical_formula_sum 'Cd4 Si4 Br16'
_space_group_name_H-M_alt 'F -4 3 m'
_space_group_IT_number 216
_space_group_name_Hall 'F -4 2 3'
_cell_length_a 8.905
_cell_length_b 8.905
_cell_length_c 8.905
_cell_angle_alpha 90.00
_cell_angle_beta 90.00
_cell_angle_gamma 90.00
loop_
_atom_site_label
_atom_site_fract_x
_atom_site_fract_y
_atom_site_fract_z
Cd1 0.000 0.000 0.000
Si1 0.250 0.250 0.750
Br1 0.125 0.125 0.375
```

## Properties
E_tot   -1.411 eV per atom
Raw formation energy   4.6 eV per formula unit

***

(8)
CdSiBr: optimized geometry, GGA-PBE.

Geometry as CIF:
```
data_CdSiBr
_chemical_formula_sum 'Cd4 Si4 Br4'
_space_group_name_H-M_alt 'F -4 3 m'
_space_group_IT_number 216
_space_group_name_Hall 'F -4 2 3'
_cell_length_a 6.972
_cell_length_b 6.972
_cell_length_c 6.972
_cell_angle_alpha 90.00
_cell_angle_beta 90.00
_cell_angle_gamma 90.00
loop_
_atom_site_label
_atom_site_fract_x
_atom_site_fract_y
_atom_site_fract_z
Cd1 0.000 0.000 0.000
Si1 0.250 0.250 0.250
Br1 0.250 0.250 0.750
```

## Properties
E_tot   -2.042 eV per atom
Excess energy over the best structure of this formula in the dataset   592.5 meV/atom
Raw formation energy   1.9 eV per formula unit

***

(9)
Cd2SiBr: optimized geometry, GGA-PBE.

Geometry as CIF:
```
data_Cd2SiBr
_chemical_formula_sum 'Cd4 Si2 Br2'
_space_group_name_H-M_alt 'C 1 2/m 1'
_space_group_IT_number 12
_space_group_name_Hall '-C 2y'
_cell_length_a 13.616
_cell_length_b 3.184
_cell_length_c 4.739
_cell_angle_alpha 90.00
_cell_angle_beta 109.58
_cell_angle_gamma 90.00
loop_
_atom_site_label
_atom_site_fract_x
_atom_site_fract_y
_atom_site_fract_z
Cd1 0.197 0.000 0.201
Si1 0.000 0.500 0.000
Br1 0.000 0.000 0.500
```

## Properties
E_tot   -2.007 eV per atom
Excess energy over the best structure of this formula in the dataset   227.5 meV/atom
Raw formation energy   0.9 eV per formula unit

***

(10)
Cd2SiBr: optimized geometry, GGA-PBE.

Geometry as CIF:
```
data_Cd2SiBr
_chemical_formula_sum 'Cd2 Si1 Br1'
_space_group_name_H-M_alt 'P m m 2'
_space_group_IT_number 25
_space_group_name_Hall 'P 2 -2'
_cell_length_a 3.567
_cell_length_b 4.078
_cell_length_c 7.474
_cell_angle_alpha 90.00
_cell_angle_beta 90.00
_cell_angle_gamma 90.00
loop_
_atom_site_label
_atom_site_fract_x
_atom_site_fract_y
_atom_site_fract_z
Cd1 0.000 0.000 0.000
Cd2 0.500 0.500 0.403
Si1 0.000 0.000 0.344
Br1 0.500 0.500 0.812
```

## Properties
E_tot   -2.235 eV per atom
Excess energy over the best structure of this formula in the dataset   0.0 meV/atom
Raw formation energy   0.0 eV per formula unit

***

(11)
Cd2SiBr: optimized geometry, GGA-PBE.

Geometry as CIF:
```
data_Cd2SiBr
_chemical_formula_sum 'Cd4 Si2 Br2'
_space_group_name_H-M_alt 'C 1 m 1'
_space_group_IT_number 8
_space_group_name_Hall 'C -2y'
_cell_length_a 14.709
_cell_length_b 3.377
_cell_length_c 4.193
_cell_angle_alpha 90.00
_cell_angle_beta 90.08
_cell_angle_gamma 90.00
loop_
_atom_site_label
_atom_site_fract_x
_atom_site_fract_y
_atom_site_fract_z
Cd1 0.000 0.000 0.000
Cd2 0.199 0.000 0.501
Si1 0.050 0.500 0.500
Br1 0.305 0.500 0.001
```

## Properties
E_tot   -2.197 eV per atom
Excess energy over the best structure of this formula in the dataset   38.1 meV/atom
Raw formation energy   0.1 eV per formula unit

***

(12)
Cd2SiBr: optimized geometry, GGA-PBE.

Geometry as CIF:
```
data_Cd2SiBr
_chemical_formula_sum 'Cd4 Si2 Br2'
_space_group_name_H-M_alt 'I -4 m 2'
_space_group_IT_number 119
_space_group_name_Hall 'I -4 -2'
_cell_length_a 4.238
_cell_length_b 4.238
_cell_length_c 10.684
_cell_angle_alpha 90.00
_cell_angle_beta 90.00
_cell_angle_gamma 90.00
loop_
_atom_site_label
_atom_site_fract_x
_atom_site_fract_y
_atom_site_fract_z
Cd1 0.000 0.000 0.000
Cd2 0.000 0.500 0.250
Si1 0.000 0.500 0.750
Br1 0.000 0.000 0.500
```

## Properties
E_tot   -1.887 eV per atom
Excess energy over the best structure of this formula in the dataset   347.9 meV/atom
Raw formation energy   1.4 eV per formula unit

***

Which of these has the highest E_tot? Cd3SiBr

***

Number 2 is which compound? Cd2SiBr